Record 1
{"formula": "CaCe2Si2", "functional": "PBE-GGA", "state": "optimized geometry", "m_tot_mub_per_cell": 2.998, "formation_energy_uncorrected_mev_per_atom": -539, "density_g_cm3": 5.0, "e_tot_ev_per_atom": -5.482, "vol_a3_per_atom": 25.15, "lattice_angstrom": [[-3.2959, -2.0445, 1.8979], [4.8451, -5.1601, 2.8554], [0.9160, 4.3091, 6.2327]], "species": ["Ca", "Ca", "Ce", "Ce", "Ce", "Ce", "Si", "Si", "Si", "Si"], "fractional_positions": [[0.0000, 0.0000, 0.0000], [0.0000, 0.5000, 0.5000], [0.5000, 0.1776, 0.6776], [0.5000, 0.6776, 0.8224], [0.5000, 0.8224, 0.3224], [0.5000, 0.3224, 0.1776], [0.0000, 0.3881, 0.8881], [0.0000, 0.8881, 0.6119], [0.0000, 0.6119, 0.1119], [0.0000, 0.1119, 0.3881]]}

Record 2
{"formula": "Pm2SnSe", "functional": "PBE-GGA", "state": "optimized geometry", "e_above_lowest_polymorph_ev_per_fu": 0.69, "m_tot_mub_per_cell": 0.008, "formation_energy_uncorrected_mev_per_atom": -1134, "density_g_cm3": 7.7, "e_tot_ev_per_atom": -5.381, "vol_a3_per_atom": 26.21, "lattice_angstrom": [[-1.6860, 2.5081, 1.9274], [-3.1407, -1.0677, -1.3580], [-0.8562, -5.2987, 6.1463]], "species": ["Sn", "Se", "Pm", "Pm"], "fractional_positions": [[0.5000, 0.5000, 0.5000], [0.5000, 0.5000, 0.0000], [0.0000, 0.0000, 0.7696], [0.0000, 0.0000, 0.2304]]}

Record 3
{"formula": "Be3ZnB", "functional": "PBE-GGA", "state": "optimized geometry", "e_above_lowest_polymorph_ev_per_fu": 5.98, "m_tot_mub_per_cell": 0.000, "density_g_cm3": 2.5, "e_tot_ev_per_atom": -2.294, "vol_a3_per_atom": 13.61, "delta_e_f_mev_per_atom": 1532.4, "lattice_angstrom": [[-0.9062, 1.5428, -3.6701], [0.6746, -3.6501, -1.7009], [-3.9236, -0.9838, 0.5552]], "species": ["Be", "Be", "Be", "Zn", "B"], "fractional_positions": [[0.0000, 0.5000, 0.0000], [0.0000, 0.0000, 0.5000], [0.5000, 0.0000, 0.0000], [0.0000, 0.0000, 0.0000], [0.5000, 0.5000, 0.5000]]}

Record 4
{"formula": "BaFeMo4", "functional": "PBE-GGA", "state": "optimized geometry", "m_tot_mub_per_cell": 2.766, "density_g_cm3": 8.3, "e_tot_ev_per_atom": -7.941, "vol_a3_per_atom": 19.28, "delta_e_f_mev_per_atom": 1010.3, "lattice_angstrom": [[0.0610, -5.3921, -0.9112], [-4.4807, -2.5054, -1.8855], [-0.1141, -1.9089, -5.1237]], "species": ["Ba", "Fe", "Mo", "Mo", "Mo", "Mo"], "fractional_positions": [[0.7500, 0.7500, 0.7500], [0.0000, 0.0000, 0.0000], [0.8764, 0.3745, 0.3745], [0.3745, 0.3745, 0.8764], [0.3745, 0.8764, 0.3745], [0.3745, 0.3745, 0.3745]]}

Record 5
{"formula": "Nd2P2Ru2N", "functional": "PBE-GGA", "state": "optimized geometry", "m_tot_mub_per_cell": 0.000, "formation_energy_uncorrected_mev_per_atom": -968, "density_g_cm3": 7.7, "e_tot_ev_per_atom": -7.715, "vol_a3_per_atom": 17.53, "lattice_angstrom": [[3.9146, 0.0000, 0.0000], [1.9573, 5.6739, -0.2399], [1.9573, 1.8986, 5.4441]], "species": ["Nd", "Nd", "P", "P", "Ru", "Ru", "N"], "fractional_positions": [[0.5626, 0.1757, 0.6990], [0.4374, 0.8243, 0.3010], [0.1803, 0.3552, 0.2843], [0.8197, 0.6448, 0.7157], [0.1999, 0.6858, 0.9145], [0.8001, 0.3142, 0.0855], [0.0000, 0.0000, 0.0000]]}

Record 6
{"formula": "YPtSe2", "functional": "PBE-GGA", "state": "optimized geometry", "m_tot_mub_per_cell": 0.783, "formation_energy_uncorrected_mev_per_atom": -746, "density_g_cm3": 6.2, "e_tot_ev_per_atom": -5.615, "vol_a3_per_atom": 29.37, "lattice_angstrom": [[4.2265, 6.0788, 3.6116], [3.5860, 3.3120, 6.6355], [6.6892, 2.7565, 3.9389]], "species": ["Y", "Se", "Se", "Pt"], "fractional_positions": [[0.5000, 0.5000, 0.5000], [0.8992, 0.8992, 0.8992], [0.1008, 0.1008, 0.1008], [0.0000, 0.0000, 0.0000]]}

Record 7
{"formula": "NaSbTe2", "functional": "PBE-GGA", "state": "optimized geometry", "m_tot_mub_per_cell": 0.000, "formation_energy_uncorrected_mev_per_atom": -81, "density_g_cm3": 5.6, "e_tot_ev_per_atom": -3.012, "vol_a3_per_atom": 29.50, "lattice_angstrom": [[-8.5243, -5.3471, -4.9831], [-7.2681, -7.9972, -3.0506], [-9.5286, -5.7107, -1.6371]], "species": ["Sb", "Te", "Te", "Na"], "fractional_positions": [[0.0000, 0.0000, 0.0000], [0.9076, 0.9076, 0.9076], [0.0924, 0.0924, 0.0924], [0.5000, 0.5000, 0.5000]]}

Record 8
{"formula": "Pr2Al4Cu5", "functional": "PBE-GGA", "state": "optimized geometry", "m_tot_mub_per_cell": 0.000, "density_g_cm3": 5.9, "e_tot_ev_per_atom": -4.381, "vol_a3_per_atom": 18.12, "delta_e_f_mev_per_atom": -288.8, "lattice_angstrom": [[-2.3201, -2.5174, -4.3599], [-1.9798, -5.1837, 0.5225], [-7.7936, 1.4717, -0.2265]], "species": ["Pr", "Pr", "Al", "Al", "Al", "Al", "Cu", "Cu", "Cu", "Cu", "Cu"], "fractional_positions": [[0.8599, 0.0000, 0.2801], [0.1401, 0.0000, 0.7199], [0.4693, 0.3168, 0.7447], [0.5307, 0.6832, 0.2553], [0.2139, 0.3168, 0.2553], [0.7861, 0.6832, 0.7447], [0.5000, 0.0000, 0.0000], [0.0000, 0.5000, 0.0000], [0.5000, 0.5000, 0.0000], [0.2500, 0.5000, 0.5000], [0.7500, 0.5000, 0.5000]]}

Record 9
{"formula": "ZrBi2Pb", "functional": "PBE-GGA", "state": "optimized geometry", "m_tot_mub_per_cell": 0.000, "density_g_cm3": 7.0, "e_tot_ev_per_atom": -4.772, "vol_a3_per_atom": 42.51, "delta_e_f_mev_per_atom": 232.6, "lattice_angstrom": [[6.9718, 0.0000, 0.0000], [0.0000, 6.9718, 0.0000], [3.4859, 3.4859, 6.9972]], "species": ["Pb", "Pb", "Bi", "Bi", "Bi", "Bi", "Zr", "Zr"], "fractional_positions": [[0.0000, 0.0000, 0.0000], [0.7500, 0.2500, 0.5000], [0.5880, 0.1250, 0.2500], [0.1620, 0.6250, 0.2500], [0.3750, 0.4120, 0.7500], [0.8750, 0.8380, 0.7500], [0.5000, 0.5000, 0.0000], [0.2500, 0.7500, 0.5000]]}

Record 10
{"formula": "FeCoAg", "functional": "PBE-GGA", "state": "optimized geometry", "e_above_lowest_polymorph_ev_per_fu": 0.12, "m_tot_mub_per_cell": 4.638, "density_g_cm3": 8.9, "e_tot_ev_per_atom": -5.843, "vol_a3_per_atom": 13.92, "delta_e_f_mev_per_atom": 297.0, "lattice_angstrom": [[-1.6955, -6.2493, 1.7714], [-2.0873, -6.1276, -0.8452], [2.2860, -1.2253, 0.5364]], "species": ["Ag", "Co", "Fe"], "fractional_positions": [[0.9995, 0.9995, 0.0005], [0.3202, 0.3202, 0.6798], [0.6802, 0.6802, 0.3198]]}

Record 11
{"formula": "Nd5Sm2Sc", "functional": "PBE-GGA", "state": "optimized geometry", "m_tot_mub_per_cell": 0.000, "density_g_cm3": 6.6, "e_tot_ev_per_atom": -4.920, "vol_a3_per_atom": 33.43, "delta_e_f_mev_per_atom": 31.5, "lattice_angstrom": [[3.6029, 0.1801, -0.3330], [-0.8562, 9.1619, -4.3097], [0.8740, -1.4605, 8.6999]], "species": ["Nd", "Nd", "Nd", "Nd", "Nd", "Sm", "Sm", "Sc"], "fractional_positions": [[0.0000, 0.5000, 0.0000], [0.4999, 0.3639, 0.2444], [0.5001, 0.6361, 0.7556], [0.4999, 0.8805, 0.2444], [0.5001, 0.1195, 0.7556], [0.9993, 0.7496, 0.4992], [0.0007, 0.2504, 0.5008], [0.0000, 0.0000, 0.0000]]}

Record 12
{"formula": "RbGa2Pb", "functional": "PBE-GGA", "state": "optimized geometry", "m_tot_mub_per_cell": 0.000, "density_g_cm3": 4.9, "e_tot_ev_per_atom": -2.647, "vol_a3_per_atom": 36.90, "delta_e_f_mev_per_atom": 35.2, "lattice_angstrom": [[5.1703, 0.0000, 0.0000], [2.5852, 4.4776, 0.0000], [2.5852, 1.4925, 6.3757]], "species": ["Pb", "Ga", "Ga", "Rb"], "fractional_positions": [[0.5000, 0.5000, 0.5000], [0.1923, 0.1923, 0.4232], [0.8077, 0.8077, 0.5768], [0.0000, 0.0000, 0.0000]]}

> Which formula does entry 4 have?

BaFeMo4

Repeat the sixth record exactly.
{"formula": "YPtSe2", "functional": "PBE-GGA", "state": "optimized geometry", "m_tot_mub_per_cell": 0.783, "formation_energy_uncorrected_mev_per_atom": -746, "density_g_cm3": 6.2, "e_tot_ev_per_atom": -5.615, "vol_a3_per_atom": 29.37, "lattice_angstrom": [[4.2265, 6.0788, 3.6116], [3.5860, 3.3120, 6.6355], [6.6892, 2.7565, 3.9389]], "species": ["Y", "Se", "Se", "Pt"], "fractional_positions": [[0.5000, 0.5000, 0.5000], [0.8992, 0.8992, 0.8992], [0.1008, 0.1008, 0.1008], [0.0000, 0.0000, 0.0000]]}